MnO2: optimized geometry, PBE+U.

Results
Calculated total energy (eV per atom): -7.1113

abc: 2.929 2.929 5.041
angles: 90.00 90.00 120.00
Atoms (fractional coordinates):
Mn 0.000 0.000 0.000
O 0.333 0.667 0.190
O 0.667 0.333 0.810